[1]
The following is a PBE calculation of a relaxed structure of BaCdW, from Alexandria.

Energy relative to the lowest polymorph listed for this composition, meV per atom: 193
Magnetization, μB/cell: 0.000
N(E_F), states/eV/cell: 3.230
DFT formation energy, eV/atom: 1.1445
Total DFT energy (no corrections), eV per atom: -4.1192

```
data_BaCdW
_chemical_formula_sum 'Ba1 Cd1 W1'
_cell_length_a 5.3886
_cell_length_b 5.3886
_cell_length_c 3.0249
_cell_angle_alpha 90.00
_cell_angle_beta 90.00
_cell_angle_gamma 120.00
_space_group_name_H-M_alt 'P -6 m 2'
_space_group_IT_number 187
_space_group_name_Hall 'P -6 2'
loop_
_atom_site_label
_atom_site_fract_x
_atom_site_fract_y
_atom_site_fract_z
Ba1 0.0000 0.0000 0.0000
Cd1 0.6667 0.3333 0.5000
W1 0.3333 0.6667 0.5000
```


[2]
The following is a PBE calculation of a relaxed structure of BaCdW2, from Alexandria.

Magnetization, μB/cell: 0.000
N(E_F), states/eV/cell: 6.494
DFT formation energy, eV/atom: 1.2569
Total DFT energy (no corrections), eV per atom: -5.9291

```
data_BaCdW2
_chemical_formula_sum 'Ba2 Cd2 W4'
_cell_length_a 2.8536
_cell_length_b 5.4222
_cell_length_c 11.4913
_cell_angle_alpha 90.00
_cell_angle_beta 90.00
_cell_angle_gamma 90.00
_space_group_name_H-M_alt 'I m m m'
_space_group_IT_number 71
_space_group_name_Hall '-I 2 2'
loop_
_atom_site_label
_atom_site_fract_x
_atom_site_fract_y
_atom_site_fract_z
Ba1 0.0000 0.0000 0.0000
Cd1 0.0000 0.0000 0.5000
W1 0.0000 0.5000 0.2286
```


[3]
The following is a PBE calculation of a relaxed structure of BaCdW, from Alexandria.

Energy relative to the lowest polymorph listed for this composition, meV per atom: 508
Magnetization, μB/cell: 10.974
N(E_F), states/eV/cell: 11.488
DFT formation energy, eV/atom: 1.4590
Total DFT energy (no corrections), eV per atom: -3.8047

```
data_BaCdW
_chemical_formula_sum 'Ba4 Cd4 W4'
_cell_length_a 7.2390
_cell_length_b 7.2390
_cell_length_c 7.2390
_cell_angle_alpha 90.00
_cell_angle_beta 90.00
_cell_angle_gamma 90.00
_space_group_name_H-M_alt 'F -4 3 m'
_space_group_IT_number 216
_space_group_name_Hall 'F -4 2 3'
loop_
_atom_site_label
_atom_site_fract_x
_atom_site_fract_y
_atom_site_fract_z
Ba1 0.0000 0.0000 0.0000
Cd1 0.0000 0.0000 0.5000
W1 0.2500 0.2500 0.7500
```


[4]
The following is a PBE calculation of a relaxed structure of Ba2CdW, from Alexandria.

Magnetization, μB/cell: 4.513
N(E_F), states/eV/cell: 7.053
DFT formation energy, eV/atom: 1.0716
Total DFT energy (no corrections), eV per atom: -3.3568

```
data_Ba2CdW
_chemical_formula_sum 'Ba4 Cd2 W2'
_cell_length_a 8.9867
_cell_length_b 3.5377
_cell_length_c 9.2491
_cell_angle_alpha 90.00
_cell_angle_beta 98.14
_cell_angle_gamma 90.00
_space_group_name_H-M_alt 'C 1 2/m 1'
_space_group_IT_number 12
loop_
_space_group_symop_operation_xyz
'x,y,z'
'-x,-y,-z'
'-x,y,-z'
'x,-y,z'
'x+1/2,y+1/2,z'
'-x+1/2,-y+1/2,-z'
'-x+1/2,y+1/2,-z'
'x+1/2,-y+1/2,z'
loop_
_atom_site_label
_atom_site_fract_x
_atom_site_fract_y
_atom_site_fract_z
Ba1 0.2431 0.0000 0.2173
Cd1 0.0000 0.0000 0.5000
W1 0.0000 0.5000 0.0000
```


[5]
The following is a PBE calculation of a relaxed structure of BaCdW, from Alexandria.

Energy relative to the lowest polymorph listed for this composition, meV per atom: 0
Magnetization, μB/cell: 0.000
N(E_F), states/eV/cell: 2.596
DFT formation energy, eV/atom: 0.9512
Total DFT energy (no corrections), eV per atom: -4.3125

```
data_BaCdW
_chemical_formula_sum 'Ba2 Cd2 W2'
_cell_length_a 3.0424
_cell_length_b 3.0424
_cell_length_c 15.8157
_cell_angle_alpha 90.00
_cell_angle_beta 90.00
_cell_angle_gamma 90.00
_space_group_name_H-M_alt 'I 4 m m'
_space_group_IT_number 107
_space_group_name_Hall 'I 4 -2'
loop_
_atom_site_label
_atom_site_fract_x
_atom_site_fract_y
_atom_site_fract_z
Ba1 0.0000 0.0000 0.0000
Cd1 0.0000 0.0000 0.6919
W1 0.0000 0.0000 0.3242
```


[6]
The following is a PBE calculation of a relaxed structure of BaCdW2, from Alexandria.

Magnetization, μB/cell: 0.000
N(E_F), states/eV/cell: 7.549
DFT formation energy, eV/atom: 1.3683
Total DFT energy (no corrections), eV per atom: -5.8178

```
data_BaCdW2
_chemical_formula_sum 'Ba2 Cd2 W4'
_cell_length_a 6.0277
_cell_length_b 10.7247
_cell_length_c 2.8921
_cell_angle_alpha 90.00
_cell_angle_beta 112.19
_cell_angle_gamma 90.00
_space_group_name_H-M_alt 'C 1 2/m 1'
_space_group_IT_number 12
loop_
_space_group_symop_operation_xyz
'x,y,z'
'-x,-y,-z'
'-x,y,-z'
'x,-y,z'
'x+1/2,y+1/2,z'
'-x+1/2,-y+1/2,-z'
'-x+1/2,y+1/2,-z'
'x+1/2,-y+1/2,z'
loop_
_atom_site_label
_atom_site_fract_x
_atom_site_fract_y
_atom_site_fract_z
Ba1 0.0000 0.0000 0.0000
Cd1 0.0000 0.5000 0.0000
W1 0.2500 0.2500 0.5000
```